No. 1
PBE YMnCo2Au, optimized geometry; symmetry = P4/mmm; formation enthalpy at 0 K = 0.686 eV per atom; final energy = -5.9386 eV per atom
1.0
4.2277 0.0000 0.0000
0.0000 5.0667 0.0000
0.0000 0.0000 4.2277
Au Mn Co Y
1 1 2 1
Cartesian
2.1139 2.5333 2.1139
0.0000 0.0000 0.0000
0.0000 0.0000 2.1139
2.1139 0.0000 0.0000
0.0000 2.5333 0.0000



No. 2
PBE ZrInNiTe3, optimized geometry; symmetry = P2_1/m; formation energy from raw total energies = -0.53 eV/atom; final energy = -4.9409 eV per atom
1.0
3.9423 0.0000 0.0000
0.0000 9.3737 0.3804
0.0000 -4.1315 9.0412
Ni Zr Te In
2 2 6 2
Cartesian
2.9567 6.8966 3.9326
0.9856 -1.6544 5.4890
2.9567 -0.6088 7.5700
0.9856 5.8509 1.8516
0.9856 5.4424 4.6757
0.9856 1.5845 7.8772
2.9567 3.6576 1.5444
2.9567 7.9476 1.5828
0.9856 -2.7055 7.8388
2.9567 -0.2003 4.7459
0.9856 1.1251 2.2496
2.9567 4.1171 7.1720



No. 3
PBE TlNiHg2, optimized geometry; symmetry = P4/mmm; formation enthalpy at 0 K = 0.384 eV per atom; polymorph energy (0 for the lowest one) = 243 meV per atom; final energy = -1.8035 eV per atom
1.0
4.8483 0.0000 0.0000
0.0000 4.1945 0.0000
0.0000 0.0000 4.1945
Hg Tl Ni
2 1 1
Cartesian
0.0000 0.0000 0.0000
0.0000 2.0973 2.0973
2.4241 0.0000 2.0973
2.4241 2.0973 0.0000



Copy entry 1 word for word.
PBE YMnCo2Au, optimized geometry; symmetry = P4/mmm; formation enthalpy at 0 K = 0.686 eV per atom; final energy = -5.9386 eV per atom
1.0
4.2277 0.0000 0.0000
0.0000 5.0667 0.0000
0.0000 0.0000 4.2277
Au Mn Co Y
1 1 2 1
Cartesian
2.1139 2.5333 2.1139
0.0000 0.0000 0.0000
0.0000 0.0000 2.1139
2.1139 0.0000 0.0000
0.0000 2.5333 0.0000